K2NiF4 | PBE+U | relaxed

a b c (Å): 6.446 5.554 6.981
angles (deg): 90.00 114.57 90.00
Space group P2_1/m (No. 11)
One atom of each set of equivalent atoms:
1 K 0.014 0.250 0.145 (multiplicity 2)
2 K 0.342 0.750 0.522 (multiplicity 2)
3 Ni 0.380 0.250 0.857 (multiplicity 2)
4 F 0.048 0.250 0.786 (multiplicity 2)
5 F 0.287 0.250 0.543 (multiplicity 2)
6 F 0.386 0.000 0.116 (multiplicity 4)

Total energy = -4.1877 eV/atom